1.
Density functional theory data (PBE) for a relaxed MgMn3Pt crystal.

SG = Pm-3m (221)
E above lowest polymorph = 0.0 kJ per mole of atoms
ΔH_f (0 K) = 14.84 kcal/mol of atoms
N(E_F) = 3.6 states/eV/f.u.

Lattice parameters (Å, degrees): 4.899 4.899 4.899 90.00 90.00 90.00
Fractional coordinates of all 5 atoms:
Mg 0.000 0.000 0.000
Mn 0.000 0.500 0.500
Mn 0.500 0.000 0.500
Mn 0.500 0.500 0.000
Pt 0.500 0.500 0.500



2.
Density functional theory data (PBE) for a relaxed MgMnPt5 crystal.

SG = P4/mmm (123)
ΔH_f (0 K) = -6.76 kcal/mol of atoms
N(E_F) = 7.1 states/eV/f.u.

Lattice parameters (Å, degrees): 3.874 3.874 7.925 90.00 90.00 90.00
Fractional coordinates of all 7 atoms:
Mg 0.000 0.000 0.000
Mn 0.500 0.500 0.500
Pt 0.000 0.000 0.500
Pt 0.000 0.500 0.250
Pt 0.000 0.500 0.750
Pt 0.500 0.000 0.250
Pt 0.500 0.000 0.750



3.
Density functional theory data (PBE) for a relaxed MgMnPt4 crystal.

SG = C2/m (12)
E above lowest polymorph = 0.0 kJ per mole of atoms
ΔH_f (0 K) = -9.76 kcal/mol of atoms
N(E_F) = 5.8 states/eV/f.u.

Lattice parameters (Å, degrees): 4.928 4.928 5.620 106.66 106.66 45.82
Fractional coordinates of all 6 atoms:
Mg 0.000 0.000 0.000
Mn 0.000 0.000 0.500
Pt 0.338 0.338 0.666
Pt 0.339 0.339 0.173
Pt 0.661 0.661 0.827
Pt 0.662 0.662 0.334



4.
Density functional theory data (PBE) for a relaxed Mg2MnPt3 crystal.

SG = Cmmm (65)
ΔH_f (0 K) = -16.37 kcal/mol of atoms
N(E_F) = 1.6 states/eV/f.u.

Lattice parameters (Å, degrees): 6.687 6.687 6.981 90.00 90.00 143.21
Fractional coordinates of all 12 atoms:
Mg 0.000 0.000 0.000
Mg 0.000 0.000 0.500
Mg 0.333 0.667 0.000
Mg 0.667 0.333 0.000
Mn 0.334 0.666 0.500
Mn 0.666 0.334 0.500
Pt 0.168 0.832 0.258
Pt 0.168 0.832 0.742
Pt 0.500 0.500 0.254
Pt 0.500 0.500 0.746
Pt 0.832 0.168 0.258
Pt 0.832 0.168 0.742



5.
Density functional theory data (PBE) for a relaxed MgMnPt2 crystal.

SG = R3m (160)
ΔH_f (0 K) = -4.23 kcal/mol of atoms
N(E_F) = 2.5 states/eV/f.u.

Lattice parameters (Å, degrees): 9.203 9.203 9.203 17.69 17.69 17.69
Fractional coordinates of all 4 atoms:
Mg 0.000 0.000 0.000
Mn 0.247 0.247 0.247
Pt 0.503 0.503 0.503
Pt 0.746 0.746 0.746



6.
Density functional theory data (PBE) for a relaxed Mg5MnPt6 crystal.

SG = Immm (71)
ΔH_f (0 K) = -18.39 kcal/mol of atoms
N(E_F) = 2.9 states/eV/f.u.

Lattice parameters (Å, degrees): 7.539 7.539 7.539 147.45 124.14 66.16
Fractional coordinates of all 12 atoms:
Mg 0.000 0.000 0.000
Mg 0.166 0.666 0.500
Mg 0.334 0.334 0.000
Mg 0.666 0.666 0.000
Mg 0.834 0.334 0.500
Mn 0.500 0.000 0.500
Pt 0.087 0.834 0.253
Pt 0.255 0.500 0.755
Pt 0.419 0.166 0.253
Pt 0.581 0.834 0.747
Pt 0.745 0.500 0.245
Pt 0.913 0.166 0.747



7.
Density functional theory data (PBE) for a relaxed MgMn2Pt4 crystal.

SG = Cmmm (65)
ΔH_f (0 K) = -8.08 kcal/mol of atoms
N(E_F) = 5.2 states/eV/f.u.

Lattice parameters (Å, degrees): 5.428 5.428 3.952 90.00 90.00 95.06
Fractional coordinates of all 7 atoms:
Mg 0.000 0.000 0.000
Mn 0.275 0.725 0.500
Mn 0.725 0.275 0.500
Pt 0.000 0.500 0.000
Pt 0.242 0.242 0.500
Pt 0.500 0.000 0.000
Pt 0.758 0.758 0.500



8.
Density functional theory data (PBE) for a relaxed RbMg2MnPt crystal.

SG = P4/mmm (123)
ΔH_f (0 K) = 10.34 kcal/mol of atoms
N(E_F) = 3.3 states/eV/f.u.

Lattice parameters (Å, degrees): 5.120 5.120 6.193 90.00 90.00 90.00
Fractional coordinates of all 5 atoms:
Rb 0.000 0.000 0.000
Mg 0.000 0.500 0.500
Mg 0.500 0.000 0.500
Mn 0.500 0.500 0.000
Pt 0.000 0.000 0.500



9.
Density functional theory data (PBE) for a relaxed MgZr2MnPt crystal.

SG = P4/mmm (123)
ΔH_f (0 K) = 5.66 kcal/mol of atoms
N(E_F) = 3.6 states/eV/f.u.

Lattice parameters (Å, degrees): 4.620 4.620 4.773 90.00 90.00 90.00
Fractional coordinates of all 5 atoms:
Mg 0.000 0.000 0.000
Zr 0.000 0.500 0.500
Zr 0.500 0.000 0.500
Mn 0.000 0.000 0.500
Pt 0.500 0.500 0.000



10.
Density functional theory data (PBE) for a relaxed PuMgMn2 crystal.

SG = P4/mmm (123)
ΔH_f (0 K) = 3.98 kcal/mol of atoms
N(E_F) = 4.0 states/eV/f.u.

Lattice parameters (Å, degrees): 3.293 3.293 6.303 90.00 90.00 90.00
Fractional coordinates of all 4 atoms:
Pu 0.000 0.000 0.000
Mg 0.000 0.000 0.500
Mn 0.500 0.500 0.222
Mn 0.500 0.500 0.778



11.
Density functional theory data (PBE) for a relaxed Pu2MgMn crystal.

SG = P4/mmm (123)
E above lowest polymorph = 0.0 kJ per mole of atoms
ΔH_f (0 K) = 1.73 kcal/mol of atoms
N(E_F) = 10.9 states/eV/f.u.

Lattice parameters (Å, degrees): 3.146 3.146 8.863 90.00 90.00 90.00
Fractional coordinates of all 4 atoms:
Pu 0.000 0.000 0.205
Pu 0.000 0.000 0.795
Mg 0.500 0.500 0.500
Mn 0.500 0.500 0.000



12.
Density functional theory data (PBE) for a relaxed Pu3MgMn crystal.

SG = Pm-3m (221)
ΔH_f (0 K) = 5.89 kcal/mol of atoms
N(E_F) = 22.3 states/eV/f.u.

Lattice parameters (Å, degrees): 5.041 5.041 5.041 90.00 90.00 90.00
Fractional coordinates of all 5 atoms:
Pu 0.000 0.000 0.500
Pu 0.000 0.500 0.000
Pu 0.500 0.000 0.000
Mg 0.500 0.500 0.500
Mn 0.000 0.000 0.000



Across the entries above, DFT total energy takes the values -31.9 -43.0 -37.5 -34.7 -23.6 -63.0 -46.5 -17.1 -32.7 -33.6 -39.1 -52.5 eV per formula unit, respectively.
Across the entries above, V takes the values 118 119 93 187 63 188 116 162 102 68 88 128 Å³/cell, respectively.